Record 1
Compound: KHf3In
Source: Alexandria via LeMat-Bulk
Functional: PBE
Structure: optimized geometry

Calculated values
ΔE to the lowest computed polymorph   301 kJ/mol of formula units
Total magnetization   1.9 μB per formula unit
Energy relative to the elements   2.021 eV/atom

Cell: 4.9531 4.9531 4.9531 Å, 90.00 90.00 90.00°
Positions (direct):
K: 0.0000 0.0000 0.0000
Hf: 0.0000 0.0000 0.5000
Hf: 0.0000 0.5000 0.0000
Hf: 0.5000 0.0000 0.0000
In: 0.5000 0.5000 0.5000



Record 2
Compound: KHf3In
Source: Alexandria via LeMat-Bulk
Functional: PBE
Structure: optimized geometry

Calculated values
ΔE to the lowest computed polymorph   0 kJ/mol of formula units
Total magnetization   2.0 μB per formula unit
Energy relative to the elements   1.398 eV/atom

Cell: 5.4430 5.4430 5.4430 Å, 90.00 90.00 90.00°
Positions (direct):
K: 0.0000 0.0000 0.0000
Hf: 0.0000 0.5000 0.5000
Hf: 0.5000 0.0000 0.5000
Hf: 0.5000 0.5000 0.0000
In: 0.5000 0.5000 0.5000



Please write out number 2 again, unchanged.
Compound: KHf3In
Source: Alexandria via LeMat-Bulk
Functional: PBE
Structure: optimized geometry

Calculated values
ΔE to the lowest computed polymorph   0 kJ/mol of formula units
Total magnetization   2.0 μB per formula unit
Energy relative to the elements   1.398 eV/atom

Cell: 5.4430 5.4430 5.4430 Å, 90.00 90.00 90.00°
Positions (direct):
K: 0.0000 0.0000 0.0000
Hf: 0.0000 0.5000 0.5000
Hf: 0.5000 0.0000 0.5000
Hf: 0.5000 0.5000 0.0000
In: 0.5000 0.5000 0.5000



What is the formula in the first record? KHf3In



Which of these has the highest ΔE to the lowest computed polymorph? number 1



Please write out number 2 again, unchanged.
Compound: KHf3In
Source: Alexandria via LeMat-Bulk
Functional: PBE
Structure: optimized geometry

Calculated values
ΔE to the lowest computed polymorph   0 kJ/mol of formula units
Total magnetization   2.0 μB per formula unit
Energy relative to the elements   1.398 eV/atom

Cell: 5.4430 5.4430 5.4430 Å, 90.00 90.00 90.00°
Positions (direct):
K: 0.0000 0.0000 0.0000
Hf: 0.0000 0.5000 0.5000
Hf: 0.5000 0.0000 0.5000
Hf: 0.5000 0.5000 0.0000
In: 0.5000 0.5000 0.5000